[1]
An optimized crystal structure of CsLiNi2, computed with PBE.

Calculated values
The calculation puts the formation enthalpy at 0 K at 1054 meV/atom. For the density of states at the Fermi level, the calculation gives 0.6 states/eV/f.u.

Cell lengths 6.708, 6.708, 6.708 Å; angles 90.00, 90.00, 90.00 degrees
Space group Fm-3m (No. 225)
Inequivalent atoms, fractional coordinates:
Cs 0.000 0.000 0.000
Li 0.000 0.000 0.500
Ni 0.250 0.250 0.250

[2]
An optimized crystal structure of CuRh2, computed with PBE.

Calculated values
The calculation puts the formation enthalpy at 0 K at 363 meV/atom. Its relative energy among the computed polymorphs is 320 meV per atom. For the density of states at the Fermi level, the calculation gives 4.8 states/eV/f.u.

Cell lengths 2.640, 3.899, 17.620 Å; angles 90.00, 90.00, 90.00 degrees
Space group Imma (No. 74)
Inequivalent atoms, fractional coordinates:
Cu 0.000 0.250 0.118
Rh 0.000 0.250 0.543
Rh 0.000 0.250 0.688

[3]
An optimized crystal structure of MnAs2SeBr, computed with PBE.

Calculated values
Its relative energy among the computed polymorphs is 579 meV per atom. For the density of states at the Fermi level, the calculation gives 5.0 states/eV/f.u. The calculation puts the energy relative to the elements, uncorrected at 906 meV/atom.

Cell lengths 5.068, 5.068, 5.309 Å; angles 90.00, 90.00, 90.00 degrees
Space group P4/mmm (No. 123)
Inequivalent atoms, fractional coordinates:
Mn 0.000 0.000 0.000
As 0.000 0.500 0.500
Se 0.500 0.500 0.500
Br 0.500 0.500 0.000

[4]
An optimized crystal structure of RbB2Rh, computed with PBE.

Calculated values
The calculation puts the formation enthalpy at 0 K at 318 meV/atom. Its relative energy among the computed polymorphs is 0 meV per atom. For the density of states at the Fermi level, the calculation gives 2.2 states/eV/f.u.

Cell lengths 6.332, 6.332, 9.093 Å; angles 90.00, 90.00, 90.00 degrees
Space group I4_1/amd (No. 141, origin choice 2)
Inequivalent atoms, fractional coordinates:
Rb 0.000 0.250 0.375
B 0.000 0.000 0.000
Rh 0.000 0.250 0.875